[1]
Sr2Zn: relaxed, PBE.

a = 7.3918 Å, b = 7.3918 Å, c = 7.3918 Å
α = 60.00°, β = 60.00°, γ = 60.00°
Last column: nearest neighbours and their distance in Å.
Fractional positions:
Sr  0.1250  0.1250  0.1250  6 Sr 3.70
Sr  0.1250  0.6250  0.1250  6 Sr 3.70
Sr  0.1250  0.1250  0.6250  6 Sr 3.70
Sr  0.6250  0.1250  0.1250  6 Sr 3.70
Zn  0.7500  0.7500  0.7500  12 Sr 4.33, 4 Zn 4.53
Zn  0.5000  0.5000  0.5000  12 Sr 4.33, 4 Zn 4.53

Computed properties:
DOS(E_F)   4.0 states/eV/f.u.
M_tot   0.00 μB/f.u.
Energy of formation from the pure elements   562 meV per atom
SG   Fd-3m
Uncorrected energy   -5.90 eV for the cell shown

[2]
Ac2Pr2In3: relaxed, PBE.

a = 4.6932 Å, b = 3.7446 Å, c = 13.3808 Å
α = 90.00°, β = 79.90°, γ = 90.00°
Last column: nearest neighbours and their distance in Å.
Fractional positions:
Pr  0.2944  0.5000  0.4111  4 In 3.31, 2 Pr 3.32, 1 Ac 3.47
Pr  0.7056  0.5000  0.5889  4 In 3.31, 2 Pr 3.32, 1 Ac 3.47
In  0.0000  0.0000  0.0000  8 Ac 3.58, 2 In 3.74
In  0.1529  0.0000  0.6943  4 Pr 3.31, 4 Ac 3.65
In  0.8471  0.0000  0.3057  4 Pr 3.31, 4 Ac 3.65
Ac  0.4262  0.5000  0.1476  1 Pr 3.47, 8 In 3.58-3.65, 2 Ac 3.74
Ac  0.5738  0.5000  0.8524  1 Pr 3.47, 8 In 3.58-3.65, 2 Ac 3.74

Computed properties:
DOS(E_F)   7.3 states/eV/f.u.
M_tot   0.00 μB/f.u.
Energy of formation from the pure elements   -304 meV per atom
SG   Cmmm
Uncorrected energy   -28.12 eV for the cell shown